# 1
Here is a relaxed structure of SrAl2Ga2 from Alexandria. Energies are from PBE.

space group	P4/mbm (127)
final energy	-31.45	eV per cell
total magnetic moment	0.00	μB per formula unit
DFT formation energy	-0.10	eV per atom

```
SrAl2Ga2
1.0
8.100 0.000 0.000
0.000 8.100 0.000
0.000 0.000 3.226
Sr Al Ga
2 4 4
Cartesian
0.000 0.000 0.000
4.050 4.050 0.000
0.990 3.060 0.000
3.060 7.110 0.000
5.041 0.990 0.000
7.110 5.041 0.000
1.326 5.376 1.613
2.724 1.326 1.613
5.376 6.775 1.613
6.775 2.724 1.613
```

---

# 2
Here is a relaxed structure of Sr2Al3Ga5 from Alexandria. Energies are from PBE.

space group	P-4m2 (115)
final energy	-33.22	eV per cell
total magnetic moment	0.00	μB per formula unit
distance to the lowest polymorph of the same formula	1.2	kJ per mole of atoms
DFT formation energy	-0.35	eV per atom

```
Sr2Al3Ga5
1.0
4.459 0.000 0.000
0.000 4.459 0.000
0.000 0.000 11.019
Sr Al Ga
2 3 5
Cartesian
0.000 2.229 2.722
2.229 0.000 8.297
0.000 2.229 6.983
2.229 0.000 4.036
2.229 2.229 5.509
0.000 0.000 0.000
0.000 0.000 5.509
0.000 2.229 9.561
2.229 0.000 1.458
2.229 2.229 0.000
```

---

# 3
Here is a relaxed structure of SrAl2Ga2 from Alexandria. Energies are from PBE.

space group	Fmmm (69)
final energy	-17.11	eV per cell
total magnetic moment	0.00	μB per formula unit
DFT formation energy	-0.38	eV per atom

```
SrAl2Ga2
1.0
0.000 3.111 5.553
3.103 0.000 5.553
3.103 3.111 0.000
Sr Al Ga
1 2 2
Cartesian
0.000 0.000 0.000
1.552 1.556 2.777
4.655 4.667 8.330
3.103 3.111 4.261
3.103 3.111 6.846
```

---

# 4
Here is a relaxed structure of SrAlGa2 from Alexandria. Energies are from PBE.

space group	Amm2 (38)
final energy	-11.84	eV per cell
total magnetic moment	0.00	μB per formula unit
DFT formation energy	-0.09	eV per atom

```
SrAlGa2
1.0
4.651 0.000 0.000
0.000 3.295 3.633
0.000 -3.295 3.633
Sr Al Ga
1 1 2
Cartesian
0.000 0.000 0.000
2.325 0.000 2.777
2.325 -1.211 5.086
2.325 1.211 5.086
```

---

# 5
Here is a relaxed structure of Sr2AlGa2 from Alexandria. Energies are from PBE.

space group	C2/m (12)
final energy	-30.06	eV per cell
total magnetic moment	0.00	μB per formula unit
distance to the lowest polymorph of the same formula	2.4	kJ per mole of atoms
DFT formation energy	-0.37	eV per atom

```
Sr2AlGa2
1.0
6.083 -2.211 0.000
6.083 2.211 0.000
-4.704 0.000 10.703
Sr Al Ga
4 2 4
Cartesian
-0.581 0.000 4.278
-0.462 0.000 9.175
7.924 0.000 1.528
8.043 0.000 6.425
4.453 0.000 1.978
3.009 0.000 8.725
-3.866 0.000 9.751
2.896 0.000 4.108
4.566 0.000 6.595
11.328 0.000 0.951
```

---

# 6
Here is a relaxed structure of Sr4Al3Ga from Alexandria. Energies are from PBE.

space group	Pmm2 (25)
final energy	-22.84	eV per cell
total magnetic moment	0.00	μB per formula unit
DFT formation energy	-0.23	eV per atom

```
Sr4Al3Ga
1.0
4.535 0.000 0.000
0.000 4.870 0.000
0.000 0.000 12.010
Sr Al Ga
4 3 1
Cartesian
0.000 0.000 0.000
0.000 2.435 5.947
2.267 0.000 8.535
2.267 2.435 2.548
0.000 2.435 9.573
2.267 0.000 4.910
2.267 2.435 10.968
0.000 0.000 3.551
```

---

# 7
Here is a relaxed structure of SrAlGa4 from Alexandria. Energies are from PBE.

space group	Pbam (55)
final energy	-75.41	eV per cell
total magnetic moment	0.00	μB per formula unit
DFT formation energy	-0.22	eV per atom

```
SrAlGa4
1.0
8.296 0.000 0.000
0.000 15.876 0.000
0.000 0.000 4.014
Sr Al Ga
4 4 16
Cartesian
1.087 2.388 0.000
3.061 10.326 0.000
5.235 5.550 0.000
7.209 13.488 0.000
1.133 6.590 0.000
3.015 14.528 0.000
5.281 1.347 0.000
7.163 9.285 0.000
0.142 11.015 2.007
0.966 8.698 2.007
1.100 15.322 2.007
1.760 12.899 2.007
2.388 4.961 2.007
3.048 7.384 2.007
3.182 0.760 2.007
4.006 3.077 2.007
4.290 12.799 2.007
5.114 15.116 2.007
5.248 8.492 2.007
5.907 10.914 2.007
6.536 2.976 2.007
7.196 0.554 2.007
7.330 7.178 2.007
8.154 4.861 2.007
```

---

# 8
Here is a relaxed structure of SrAlGa3 from Alexandria. Energies are from PBE.

space group	I4mm (107)
final energy	-16.38	eV per cell
total magnetic moment	0.00	μB per formula unit
distance to the lowest polymorph of the same formula	0.0	kJ per mole of atoms
DFT formation energy	-0.38	eV per atom

```
SrAlGa3
1.0
-2.239 2.239 5.445
2.239 -2.239 5.445
2.239 2.239 -5.445
Sr Al Ga
1 1 3
Cartesian
0.000 0.000 0.000
0.000 0.000 6.790
2.239 0.000 2.760
0.000 0.000 4.218
0.000 2.239 2.760
```

---

# 9
Here is a relaxed structure of SrAl3Ga4 from Alexandria. Energies are from PBE.

space group	P4/mmm (123)
final energy	-26.52	eV per cell
total magnetic moment	0.00	μB per formula unit
DFT formation energy	-0.19	eV per atom

```
SrAl3Ga4
1.0
4.721 0.000 0.000
0.000 4.721 0.000
0.000 0.000 7.689
Sr Al Ga
1 3 4
Cartesian
0.000 0.000 0.000
0.000 0.000 3.845
2.361 2.361 1.308
2.361 2.361 6.382
0.000 2.361 2.515
0.000 2.361 5.175
2.361 0.000 2.515
2.361 0.000 5.175
```

---

# 10
Here is a relaxed structure of Sr2AlGa2 from Alexandria. Energies are from PBE.

space group	C2/m (12)
final energy	-30.31	eV per cell
total magnetic moment	0.00	μB per formula unit
distance to the lowest polymorph of the same formula	0.0	kJ per mole of atoms
DFT formation energy	-0.40	eV per atom

```
Sr2AlGa2
1.0
5.819 -2.324 0.000
5.819 2.324 0.000
-5.570 0.000 10.073
Sr Al Ga
4 2 4
Cartesian
-1.805 0.000 3.338
1.610 0.000 1.092
4.458 0.000 8.981
7.873 0.000 6.736
-0.317 0.000 6.501
6.385 0.000 3.572
1.640 0.000 4.495
5.045 0.000 1.166
1.023 0.000 8.907
4.428 0.000 5.578
```

---

# 11
Here is a relaxed structure of Sr3Al2Ga3 from Alexandria. Energies are from PBE.

space group	Pnma (62)
final energy	-98.84	eV per cell
total magnetic moment	0.00	μB per formula unit
distance to the lowest polymorph of the same formula	1.7	kJ per mole of atoms
DFT formation energy	-0.39	eV per atom

```
Sr3Al2Ga3
1.0
8.597 0.000 0.000
0.000 15.678 0.000
0.000 0.000 6.337
Sr Al Ga
12 8 12
Cartesian
0.359 1.721 0.802
0.359 6.118 0.802
1.611 3.920 3.816
2.687 11.759 0.648
3.939 9.560 3.971
3.939 13.957 3.971
4.657 1.721 2.366
4.657 6.118 2.366
5.909 3.920 5.689
6.986 11.759 2.520
8.237 9.560 5.535
8.237 13.957 5.535
0.899 9.377 2.461
0.899 14.140 2.461
3.399 1.538 5.630
3.399 6.301 5.630
5.198 9.377 0.707
5.198 14.140 0.707
7.697 1.538 3.876
7.697 6.301 3.876
1.449 11.759 3.695
1.605 0.580 3.933
1.605 7.260 3.933
2.693 8.419 0.765
2.693 15.099 0.765
2.849 3.920 0.526
5.747 11.759 5.811
5.903 0.580 5.572
5.903 7.260 5.572
6.991 8.419 2.404
6.991 15.099 2.404
7.148 3.920 2.642
```

---

# 12
Here is a relaxed structure of Sr6AlGa from Alexandria. Energies are from PBE.

space group	I4/mmm (139)
final energy	-17.79	eV per cell
total magnetic moment	0.00	μB per formula unit
DFT formation energy	-0.12	eV per atom

```
Sr6AlGa
1.0
-2.861 2.861 10.287
2.861 -2.861 10.287
2.861 2.861 -10.287
Sr Al Ga
6 1 1
Cartesian
2.861 0.000 1.868
0.000 0.000 5.119
2.861 0.000 8.419
0.000 2.861 1.868
0.000 0.000 15.455
0.000 2.861 8.419
0.000 0.000 0.000
0.000 0.000 10.287
```